The following is a DFT calculation (SCAN) of a crystal of KInI2 relaxed with PBEsol.

Lattice parameters (Å, degrees): 7.441 7.441 9.863 112.16 112.16 90.00
Element x y z (fractional)
I 0.364 0.875 0.250
I 0.886 0.375 0.250
I 0.125 0.114 0.750
I 0.625 0.636 0.750
K 0.750 0.250 0.500
K 0.500 0.500 0.000
In 0.250 0.750 0.500
In 0.000 0.000 0.000

Spin magnetization, Bohr magnetons per cell: 0.00
Space group: I-42d
Total DFT energy (no corrections), eV/atom: -29.688
Uncorrected formation energy, meV per atom: -888.0

The following is a DFT calculation (SCAN) of a crystal of KInIN2 relaxed with PBEsol.

Lattice parameters (Å, degrees): 4.461 4.461 6.131 90.00 90.00 90.00
Site moments in Bohr magnetons follow the coordinates.
Element x y z (fractional)
I 0.000 0.000 0.500  0.05
K 0.500 0.500 0.500  0.00
N 0.000 0.500 0.000  1.05
N 0.500 0.000 0.000  1.05
In 0.000 0.000 0.000  -0.13

Spin magnetization, Bohr magnetons per cell: 3.01
Space group: P4/mmm
Total DFT energy (no corrections), eV/atom: -18.743
Uncorrected formation energy, meV per atom: 664.8

Q: The lowest total DFT energy (no corrections) belongs to which entry?
A: KInI2

Q: The highest uncorrected formation energy belongs to which entry?
A: KInIN2

Q: Number 2 is which compound?
A: KInIN2

Q: Which of these has the lowest spin magnetization?
A: KInI2